The following is a GGA-PBE calculation of an optimized crystal structure of RuWBr2, from the Alexandria database.

Lattice parameters (Å, degrees): 6.5980 6.5980 6.5980 90.00 90.00 90.00
Space group F-43m (No. 216)
Inequivalent atoms, fractional coordinates:
Ru1 0.0000 0.0000 0.0000 [4 per cell]
W1 0.2500 0.2500 0.7500 [4 per cell]
Br1 0.0000 0.0000 0.5000 [4 per cell]
Br2 0.2500 0.2500 0.2500 [4 per cell]

Computed properties:
ΔE_f (raw) in meV/atom: 1308.8
Mass density in g/cm3: 10.28
Energy relative to the lowest polymorph listed for this composition in eV/atom: 1.2517